Density functional theory data (GGA-PBE) for an optimized crystal structure of Tb3Sc2Hg3.

Computed properties:
ΔH_f (0 K)   -0.35 eV per atom
DOS(E_F)   11.90 states/eV/f.u.
Final energy   -30.23 eV for the cell shown
Calculated volume   206 Å³/cell

CIF file:
```
data_Tb3Sc2Hg3
_space_group_name_H-M_alt 'P 1'
_space_group_IT_number 1
_cell_length_a 3.6616
_cell_length_b 5.2016
_cell_length_c 11.2832
_cell_angle_alpha 103.33
_cell_angle_beta 99.34
_cell_angle_gamma 90.00
loop_
_space_group_symop_operation_xyz
'x,y,z'
loop_
_atom_site_label
_atom_site_type_symbol
_atom_site_fract_x
_atom_site_fract_y
_atom_site_fract_z
_atom_site_occupancy
Tb1 Tb 0.3748 0.3748 0.7497 1
Tb2 Tb 0.6252 0.6252 0.2503 1
Tb3 Tb 0.5000 0.0000 0.0000 1
Hg1 Hg 0.8717 0.8717 0.7434 1
Sc1 Sc 0.2639 0.7639 0.5279 1
Hg2 Hg 0.1283 0.1283 0.2566 1
Hg3 Hg 0.0000 0.5000 0.0000 1
Sc2 Sc 0.7361 0.2361 0.4721 1
```

***

Density functional theory data (GGA-PBE) for an optimized crystal structure of Tb2ScHg6.

Computed properties:
ΔH_f (0 K)   -0.36 eV per atom
DOS(E_F)   4.41 states/eV/f.u.
Final energy   -41.27 eV for the cell shown
Calculated volume   437 Å³/cell

CIF file:
```
data_Tb2ScHg6
_space_group_name_H-M_alt 'P 1'
_space_group_IT_number 1
_cell_length_a 5.3711
_cell_length_b 9.1822
_cell_length_c 9.1822
_cell_angle_alpha 78.26
_cell_angle_beta 82.21
_cell_angle_gamma 82.21
loop_
_space_group_symop_operation_xyz
'x,y,z'
loop_
_atom_site_label
_atom_site_type_symbol
_atom_site_fract_x
_atom_site_fract_y
_atom_site_fract_z
_atom_site_occupancy
Sc1 Sc 0.7500 0.8774 0.1226 1
Tb1 Tb 0.0815 0.2068 0.4585 1
Hg1 Hg 0.4727 0.6864 0.4263 1
Hg2 Hg 0.5273 0.3136 0.5737 1
Tb2 Tb 0.9185 0.7932 0.5415 1
Hg3 Hg 0.1953 0.9844 0.2290 1
Hg4 Hg 0.8619 0.6599 0.9083 1
Hg5 Hg 0.0273 0.5737 0.3136 1
Hg6 Hg 0.6953 0.2290 0.9844 1
Hg7 Hg 0.1381 0.3401 0.0917 1
Tb3 Tb 0.4185 0.5415 0.7932 1
Hg8 Hg 0.6381 0.0917 0.3401 1
Hg9 Hg 0.8047 0.0156 0.7710 1
Hg10 Hg 0.9727 0.4263 0.6864 1
Hg11 Hg 0.3047 0.7710 0.0156 1
Hg12 Hg 0.3619 0.9083 0.6599 1
Sc2 Sc 0.2500 0.1226 0.8774 1
Tb4 Tb 0.5815 0.4585 0.2068 1
```

***

Density functional theory data (GGA-PBE) for an optimized crystal structure of Tb2ScHg5.

Computed properties:
ΔH_f (0 K)   -0.36 eV per atom
DOS(E_F)   4.97 states/eV/f.u.
Final energy   -20.01 eV for the cell shown
Calculated volume   191 Å³/cell

CIF file:
```
data_Tb2ScHg5
_space_group_name_H-M_alt 'P 1'
_space_group_IT_number 1
_cell_length_a 5.1226
_cell_length_b 5.1226
_cell_length_c 8.1383
_cell_angle_alpha 108.34
_cell_angle_beta 108.34
_cell_angle_gamma 90.00
loop_
_space_group_symop_operation_xyz
'x,y,z'
loop_
_atom_site_label
_atom_site_type_symbol
_atom_site_fract_x
_atom_site_fract_y
_atom_site_fract_z
_atom_site_occupancy
Hg1 Hg 0.6190 0.1190 0.2380 1
Tb1 Tb 0.2615 0.2615 0.5231 1
Hg2 Hg 0.1190 0.6190 0.2380 1
Hg3 Hg 0.8810 0.3810 0.7620 1
Hg4 Hg 0.3810 0.8810 0.7620 1
Tb2 Tb 0.7385 0.7385 0.4769 1
Hg5 Hg 0.5000 0.5000 0.0000 1
Sc1 Sc 0.0000 0.0000 0.0000 1
```

***

Density functional theory data (GGA-PBE) for an optimized crystal structure of TbSc2Hg3.

Computed properties:
ΔH_f (0 K)   -0.44 eV per atom
DOS(E_F)   5.97 states/eV/f.u.
Final energy   -20.83 eV for the cell shown
Calculated volume   139 Å³/cell

CIF file:
```
data_TbSc2Hg3
_space_group_name_H-M_alt 'P 1'
_space_group_IT_number 1
_cell_length_a 3.5796
_cell_length_b 3.5796
_cell_length_c 10.8680
_cell_angle_alpha 90.00
_cell_angle_beta 90.00
_cell_angle_gamma 90.00
loop_
_space_group_symop_operation_xyz
'x,y,z'
loop_
_atom_site_label
_atom_site_type_symbol
_atom_site_fract_x
_atom_site_fract_y
_atom_site_fract_z
_atom_site_occupancy
Sc1 Sc 0.5000 0.5000 0.1593 1
Hg1 Hg 0.0000 0.0000 0.0000 1
Hg2 Hg 0.0000 0.0000 0.3158 1
Tb1 Tb 0.5000 0.5000 0.5000 1
Hg3 Hg 0.0000 0.0000 0.6842 1
Sc2 Sc 0.5000 0.5000 0.8407 1
```

***

Density functional theory data (GGA-PBE) for an optimized crystal structure of Tb8Sc2Hg.

Computed properties:
ΔH_f (0 K)   0.01 eV per atom
DOS(E_F)   17.36 states/eV/f.u.
Final energy   -49.91 eV for the cell shown
Calculated volume   328 Å³/cell

CIF file:
```
data_Tb8Sc2Hg
_space_group_name_H-M_alt 'P 1'
_space_group_IT_number 1
_cell_length_a 5.2999
_cell_length_b 7.9056
_cell_length_c 8.9715
_cell_angle_alpha 112.99
_cell_angle_beta 107.18
_cell_angle_gamma 90.00
loop_
_space_group_symop_operation_xyz
'x,y,z'
loop_
_atom_site_label
_atom_site_type_symbol
_atom_site_fract_x
_atom_site_fract_y
_atom_site_fract_z
_atom_site_occupancy
Tb1 Tb 0.3854 0.5665 0.7708 1
Sc1 Sc 0.8039 0.3461 0.6079 1
Tb2 Tb 0.6146 0.4335 0.2292 1
Hg1 Hg 0.5000 0.0000 0.0000 1
Tb3 Tb 0.6670 0.9109 0.3340 1
Tb4 Tb 0.0174 0.7362 0.0347 1
Tb5 Tb 0.1712 0.2176 0.3424 1
Sc2 Sc 0.1961 0.6539 0.3921 1
Tb6 Tb 0.3330 0.0891 0.6660 1
Tb7 Tb 0.9826 0.2638 0.9653 1
Tb8 Tb 0.8288 0.7824 0.6576 1
```

***

Density functional theory data (GGA-PBE) for an optimized crystal structure of TbSc2Hg6.

Computed properties:
ΔH_f (0 K)   -0.29 eV per atom
DOS(E_F)   4.48 states/eV/f.u.
Final energy   -21.71 eV for the cell shown
Calculated volume   211 Å³/cell

CIF file:
```
data_TbSc2Hg6
_space_group_name_H-M_alt 'P 1'
_space_group_IT_number 1
_cell_length_a 5.2982
_cell_length_b 5.2993
_cell_length_c 9.0146
_cell_angle_alpha 72.91
_cell_angle_beta 81.74
_cell_angle_gamma 60.76
loop_
_space_group_symop_operation_xyz
'x,y,z'
loop_
_atom_site_label
_atom_site_type_symbol
_atom_site_fract_x
_atom_site_fract_y
_atom_site_fract_z
_atom_site_occupancy
Hg1 Hg 0.3355 0.3316 0.5000 1
Hg2 Hg 0.8311 0.1667 0.8367 1
Hg3 Hg 0.1689 0.4966 0.8367 1
Hg4 Hg 0.6645 0.6684 0.5000 1
Sc1 Sc 0.5000 0.1704 0.1591 1
Tb1 Tb 0.0000 0.0000 0.5000 1
Hg5 Hg 0.1689 0.8333 0.1633 1
Sc2 Sc 0.5000 0.8296 0.8409 1
Hg6 Hg 0.8311 0.5034 0.1633 1
```

***

Density functional theory data (GGA-PBE) for an optimized crystal structure of Tb5ScHg4.

Computed properties:
ΔH_f (0 K)   -0.37 eV per atom
DOS(E_F)   11.43 states/eV/f.u.
Final energy   -34.34 eV for the cell shown
Calculated volume   266 Å³/cell

CIF file:
```
data_Tb5ScHg4
_space_group_name_H-M_alt 'P 1'
_space_group_IT_number 1
_cell_length_a 3.6783
_cell_length_b 3.6783
_cell_length_c 19.6751
_cell_angle_alpha 90.00
_cell_angle_beta 90.00
_cell_angle_gamma 90.00
loop_
_space_group_symop_operation_xyz
'x,y,z'
loop_
_atom_site_label
_atom_site_type_symbol
_atom_site_fract_x
_atom_site_fract_y
_atom_site_fract_z
_atom_site_occupancy
Hg1 Hg 0.0000 0.0000 0.4029 1
Tb1 Tb 0.5000 0.5000 0.3059 1
Tb2 Tb 0.5000 0.5000 0.8906 1
Tb3 Tb 0.5000 0.5000 0.1094 1
Tb4 Tb 0.5000 0.5000 0.6941 1
Sc1 Sc 0.0000 0.0000 0.0000 1
Hg2 Hg 0.0000 0.0000 0.7942 1
Hg3 Hg 0.0000 0.0000 0.2058 1
Tb5 Tb 0.5000 0.5000 0.5000 1
Hg4 Hg 0.0000 0.0000 0.5971 1
```

***

Density functional theory data (GGA-PBE) for an optimized crystal structure of Tb5ScHg3.

Computed properties:
ΔH_f (0 K)   -0.30 eV per atom
DOS(E_F)   4.99 states/eV/f.u.
Final energy   -66.22 eV for the cell shown
Calculated volume   486 Å³/cell

CIF file:
```
data_Tb5ScHg3
_space_group_name_H-M_alt 'P 1'
_space_group_IT_number 1
_cell_length_a 6.8125
_cell_length_b 9.0730
_cell_length_c 9.0732
_cell_angle_alpha 120.00
_cell_angle_beta 90.00
_cell_angle_gamma 90.00
loop_
_space_group_symop_operation_xyz
'x,y,z'
loop_
_atom_site_label
_atom_site_type_symbol
_atom_site_fract_x
_atom_site_fract_y
_atom_site_fract_z
_atom_site_occupancy
Hg1 Hg 0.7500 0.3401 0.3402 1
Tb1 Tb 0.7500 0.0000 0.3224 1
Tb2 Tb 0.0000 0.3333 0.6667 1
Hg2 Hg 0.2500 0.3401 0.0000 1
Tb3 Tb 0.2500 0.6776 0.0000 1
Tb4 Tb 0.5000 0.3333 0.6667 1
Sc1 Sc 0.0000 0.0000 0.0000 1
Tb5 Tb 0.2500 0.3224 0.3224 1
Hg3 Hg 0.7500 0.0000 0.6598 1
Hg4 Hg 0.2500 0.6599 0.6598 1
Tb6 Tb 0.7500 0.3224 0.0000 1
Hg5 Hg 0.7500 0.6599 0.0000 1
Hg6 Hg 0.2500 0.0000 0.3402 1
Tb7 Tb 0.5000 0.6667 0.3333 1
Tb8 Tb 0.0000 0.6667 0.3333 1
Tb9 Tb 0.2500 0.0000 0.6776 1
Sc2 Sc 0.5000 0.0000 0.0000 1
Tb10 Tb 0.7500 0.6776 0.6776 1
```

***

Q: Among the records above, which one has the lowest calculated volume?
A: TbSc2Hg3

***

Q: Among the records above, which one has the highest final energy?
A: Tb2ScHg5

***

What did the sixth record say?
Density functional theory data (GGA-PBE) for an optimized crystal structure of TbSc2Hg6.

Computed properties:
ΔH_f (0 K)   -0.29 eV per atom
DOS(E_F)   4.48 states/eV/f.u.
Final energy   -21.71 eV for the cell shown
Calculated volume   211 Å³/cell

CIF file:
```
data_TbSc2Hg6
_space_group_name_H-M_alt 'P 1'
_space_group_IT_number 1
_cell_length_a 5.2982
_cell_length_b 5.2993
_cell_length_c 9.0146
_cell_angle_alpha 72.91
_cell_angle_beta 81.74
_cell_angle_gamma 60.76
loop_
_space_group_symop_operation_xyz
'x,y,z'
loop_
_atom_site_label
_atom_site_type_symbol
_atom_site_fract_x
_atom_site_fract_y
_atom_site_fract_z
_atom_site_occupancy
Hg1 Hg 0.3355 0.3316 0.5000 1
Hg2 Hg 0.8311 0.1667 0.8367 1
Hg3 Hg 0.1689 0.4966 0.8367 1
Hg4 Hg 0.6645 0.6684 0.5000 1
Sc1 Sc 0.5000 0.1704 0.1591 1
Tb1 Tb 0.0000 0.0000 0.5000 1
Hg5 Hg 0.1689 0.8333 0.1633 1
Sc2 Sc 0.5000 0.8296 0.8409 1
Hg6 Hg 0.8311 0.5034 0.1633 1
```

***

Q: Which of these has the highest DOS(E_F)?
A: Tb8Sc2Hg